Below is a geometry-optimized VBIO2 structure, with properties calculated at the GGA+U level.

For the polymorph energy (0 for the lowest one), the calculation gives 195 kJ/mol of formula units. The value obtained for the density of states at the Fermi level is 0.72 states/eV/f.u.

The structure belongs to space group P4/mmm (No. 123); the cell edges are 3.709, 3.709 and 4.904 Å and the angles 90.00°, 90.00° and 90.00°. The inequivalent atoms are V at (0.000, 0.000, 0.000), B at (0.500, 0.500, 0.500), I at (0.500, 0.500, 0.000) and O at (0.000, 0.500, 0.500).